#A
{
  "formula": "ZnC3Br",
  "functional": "PBE-GGA",
  "state": "optimized geometry",
  "lattice": [[4.054, 0.000, 0.000], [0.000, 4.054, 0.000], [0.000, 0.000, 4.054]],
  "species": ["Zn", "C", "C", "C", "Br"],
  "frac_coords": [[0.500, 0.500, 0.500], [0.000, 0.500, 0.000], [0.000, 0.000, 0.500], [0.500, 0.000, 0.000], [0.000, 0.000, 0.000]],
  "n_ef_per_ev_fu": 3.8,
  "crystal_system": "cubic"
}

=====

#B
{
  "formula": "ZnC3Br",
  "functional": "PBE-GGA",
  "state": "optimized geometry",
  "lattice": [[4.108, 0.000, 0.000], [0.000, 4.108, 0.000], [0.000, 0.000, 4.108]],
  "species": ["Zn", "C", "C", "C", "Br"],
  "frac_coords": [[0.000, 0.000, 0.000], [0.000, 0.500, 0.000], [0.000, 0.000, 0.500], [0.500, 0.000, 0.000], [0.500, 0.500, 0.500]],
  "n_ef_per_ev_fu": 3.4,
  "crystal_system": "cubic"
}

=====

Best to worst by energy: #B, #A.

=====

#A
{
  "formula": "ZnC2Br2",
  "functional": "PBE-GGA",
  "state": "optimized geometry",
  "lattice": [[-2.217, 8.218, 3.870], [-2.036, -4.332, 8.033], [2.840, 0.341, 0.903]],
  "species": ["Zn", "Zn", "C", "C", "C", "C", "Br", "Br", "Br", "Br"],
  "frac_coords": [[0.000, 0.000, 0.000], [0.500, 0.500, 0.000], [0.245, 0.745, 0.500], [0.745, 0.755, 0.500], [0.755, 0.255, 0.500], [0.255, 0.245, 0.500], [0.350, 0.850, 0.000], [0.850, 0.650, 0.000], [0.650, 0.150, 0.000], [0.150, 0.350, 0.000]],
  "n_ef_per_ev_fu": 0.8,
  "crystal_system": "tetragonal"
}

=====

#B
{
  "formula": "ZnC2Br2",
  "functional": "PBE-GGA",
  "state": "optimized geometry",
  "lattice": [[4.204, 0.000, 0.000], [0.000, 4.204, 0.000], [2.102, 2.102, 6.844]],
  "species": ["Zn", "C", "C", "Br", "Br"],
  "frac_coords": [[0.000, 0.000, 0.000], [0.750, 0.250, 0.500], [0.250, 0.750, 0.500], [0.304, 0.304, 0.392], [0.696, 0.696, 0.608]],
  "n_ef_per_ev_fu": 3.4,
  "crystal_system": "tetragonal"
}

=====

Best to worst by energy: #A, #B.

=====

#A
{
  "formula": "ZnC2Br",
  "functional": "PBE-GGA",
  "state": "optimized geometry",
  "lattice": [[0.000, 2.960, 2.960], [2.960, 0.000, 2.960], [2.960, 2.960, 0.000]],
  "species": ["Zn", "C", "C", "Br"],
  "frac_coords": [[0.000, 0.000, 0.000], [0.250, 0.250, 0.250], [0.750, 0.750, 0.750], [0.500, 0.500, 0.500]],
  "n_ef_per_ev_fu": 2.3,
  "crystal_system": "cubic"
}

=====

#B
{
  "formula": "ZnC2Br",
  "functional": "PBE-GGA",
  "state": "optimized geometry",
  "lattice": [[4.912, 0.000, 0.000], [0.000, 4.912, 0.000], [2.456, 2.456, 5.082]],
  "species": ["Zn", "Zn", "C", "C", "C", "C", "Br", "Br"],
  "frac_coords": [[0.500, 0.500, 0.000], [0.250, 0.750, 0.500], [0.585, 0.125, 0.250], [0.165, 0.625, 0.250], [0.375, 0.415, 0.750], [0.875, 0.835, 0.750], [0.000, 0.000, 0.000], [0.750, 0.250, 0.500]],
  "n_ef_per_ev_fu": 2.1,
  "crystal_system": "tetragonal"
}

=====

Best to worst by energy: #B, #A.

=====

#A
{
  "formula": "ZrCBr3",
  "functional": "PBE-GGA",
  "state": "optimized geometry",
  "lattice": [[-2.159, 2.842, 3.938], [3.932, -1.506, 3.243], [2.850, 4.231, -1.491]],
  "species": ["C", "Br", "Br", "Br", "Zr"],
  "frac_coords": [[0.500, 0.500, 0.500], [0.000, 0.500, 0.000], [0.000, 0.000, 0.500], [0.500, 0.000, 0.000], [0.000, 0.000, 0.000]],
  "n_ef_per_ev_fu": 6.9,
  "crystal_system": "cubic"
}

=====

#B
{
  "formula": "ZrCBr3",
  "functional": "PBE-GGA",
  "state": "optimized geometry",
  "lattice": [[-3.242, -1.188, -3.196], [1.794, -4.345, -0.204], [-2.899, -1.359, 3.447]],
  "species": ["C", "Br", "Br", "Br", "Zr"],
  "frac_coords": [[0.000, 0.000, 0.000], [0.000, 0.500, 0.000], [0.000, 0.000, 0.500], [0.500, 0.000, 0.000], [0.500, 0.500, 0.500]],
  "n_ef_per_ev_fu": 4.5,
  "crystal_system": "cubic"
}

=====

Best to worst by energy: #A, #B.

=====

#A
{
  "formula": "ZrC3Br",
  "functional": "PBE-GGA",
  "state": "optimized geometry",
  "lattice": [[-0.758, 2.693, -2.783], [-3.743, -1.237, -0.177], [-0.993, 2.606, 2.792]],
  "species": ["C", "C", "C", "Br", "Zr"],
  "frac_coords": [[0.000, 0.500, 0.000], [0.000, 0.000, 0.500], [0.500, 0.000, 0.000], [0.000, 0.000, 0.000], [0.500, 0.500, 0.500]],
  "n_ef_per_ev_fu": 3.2,
  "crystal_system": "cubic"
}

=====

#B
{
  "formula": "ZrC3Br",
  "functional": "PBE-GGA",
  "state": "optimized geometry",
  "lattice": [[-1.401, -3.805, -1.898], [2.487, -2.354, 2.884], [-3.449, -0.152, 2.850]],
  "species": ["C", "C", "C", "Br", "Zr"],
  "frac_coords": [[0.000, 0.500, 0.000], [0.000, 0.000, 0.500], [0.500, 0.000, 0.000], [0.500, 0.500, 0.500], [0.000, 0.000, 0.000]],
  "n_ef_per_ev_fu": 7.2,
  "crystal_system": "cubic"
}

=====

Best to worst by energy: #B, #A.

=====

#A
{
  "formula": "ZrC2Br2",
  "functional": "PBE-GGA",
  "state": "optimized geometry",
  "lattice": [[3.057, 0.000, 0.000], [0.000, 3.057, 0.000], [1.529, 1.529, 10.595]],
  "species": ["C", "C", "Br", "Br", "Zr"],
  "frac_coords": [[0.750, 0.250, 0.500], [0.250, 0.750, 0.500], [0.417, 0.417, 0.167], [0.583, 0.583, 0.833], [0.000, 0.000, 0.000]],
  "n_ef_per_ev_fu": 2.3,
  "crystal_system": "tetragonal"
}

=====

#B
{
  "formula": "ZrC2Br2",
  "functional": "PBE-GGA",
  "state": "optimized geometry",
  "lattice": [[7.214, 0.000, 0.000], [0.000, 7.214, 0.000], [0.000, 0.000, 3.116]],
  "species": ["C", "C", "C", "C", "Br", "Br", "Br", "Br", "Zr", "Zr"],
  "frac_coords": [[0.211, 0.711, 0.500], [0.711, 0.789, 0.500], [0.789, 0.289, 0.500], [0.289, 0.211, 0.500], [0.363, 0.863, 0.000], [0.863, 0.637, 0.000], [0.637, 0.137, 0.000], [0.137, 0.363, 0.000], [0.000, 0.000, 0.000], [0.500, 0.500, 0.000]],
  "n_ef_per_ev_fu": 1.3,
  "crystal_system": "tetragonal"
}

=====

Best to worst by energy: #A, #B.